1.
Computed, not measured: a geometry-optimized LiAgTe3W structure at the PBE-GGA level of DFT.

Cell and atoms, written as CIF:
```
data_LiAgTe3W
_chemical_formula_sum 'Li4 Ag4 Te12 W4'
_space_group_name_H-M_alt 'C m c m'
_space_group_IT_number 63
_space_group_name_Hall '-C 2c 2'
_cell_length_a 3.7475
_cell_length_b 14.2682
_cell_length_c 10.6301
_cell_angle_alpha 90.00
_cell_angle_beta 90.00
_cell_angle_gamma 90.00
loop_
_atom_site_label
_atom_site_fract_x
_atom_site_fract_y
_atom_site_fract_z
_atom_site_occupancy
Li1 0.0000 0.2209 0.2500 1
Ag1 0.0000 0.4509 0.7500 1
Te1 0.0000 0.0954 0.7500 1
Te2 0.0000 0.3562 0.5313 1
W1 0.0000 0.0000 0.0000 1
```

2.
Computed, not measured: a geometry-optimized LiZrAgTe3 structure at the PBE-GGA level of DFT.

Values from the calculation:
energy above the most stable polymorph in this dataset: 0.041 eV/atom

Cell and atoms, written as CIF:
```
data_LiZrAgTe3
_chemical_formula_sum 'Li4 Zr4 Ag4 Te12'
_space_group_name_H-M_alt 'C m c m'
_space_group_IT_number 63
_space_group_name_Hall '-C 2c 2'
_cell_length_a 4.0251
_cell_length_b 14.4133
_cell_length_c 10.9670
_cell_angle_alpha 90.00
_cell_angle_beta 90.00
_cell_angle_gamma 90.00
loop_
_atom_site_label
_atom_site_fract_x
_atom_site_fract_y
_atom_site_fract_z
_atom_site_occupancy
Li1 0.0000 0.1985 0.2500 1
Zr1 0.0000 0.0000 0.0000 1
Ag1 0.0000 0.4688 0.7500 1
Te1 0.0000 0.1004 0.7500 1
Te2 0.0000 0.3558 0.5495 1
```

3.
Computed, not measured: a geometry-optimized LiZrAgTe3 structure at the PBE-GGA level of DFT.

Values from the calculation:
energy above the most stable polymorph in this dataset: 0.057 eV/atom

Cell and atoms, written as CIF:
```
data_LiZrAgTe3
_chemical_formula_sum 'Li4 Zr4 Ag4 Te12'
_space_group_name_H-M_alt 'P n m a'
_space_group_IT_number 62
_space_group_name_Hall '-P 2ac 2n'
_cell_length_a 13.2144
_cell_length_b 4.1081
_cell_length_c 12.1382
_cell_angle_alpha 90.00
_cell_angle_beta 90.00
_cell_angle_gamma 90.00
loop_
_atom_site_label
_atom_site_fract_x
_atom_site_fract_y
_atom_site_fract_z
_atom_site_occupancy
Li1 0.1463 0.2500 0.0145 1
Zr1 0.0641 0.2500 0.3276 1
Ag1 0.2466 0.7500 0.2079 1
Te1 0.0432 0.7500 0.1507 1
Te2 0.0755 0.2500 0.5806 1
Te3 0.2286 0.7500 0.8664 1
```

no.,DFT total energy (eV/atom)
1,-4.49
2,-4.43
3,-4.42